(1)
This record from Alexandria describes a relaxed Mg2BeIr crystal. The functional is GGA-PBEsol.

Unit cell a=3.068 b=4.361 c=5.114 alpha=115.24 beta=107.45 gamma=90.00
Atoms (fractional coordinates):
Be  0.531  0.031  0.062
Mg  0.983  0.483  0.967
Mg  0.769  0.769  0.538
Ir  0.217  0.217  0.433

mass density	7.10	g/cm3
N(E_F)	0.225	states/eV/atom
calculated formation energy	-0.243	eV/atom
final energy	-18.230	eV for the cell shown
crystal system	orthorhombic

***

(2)
This record from Alexandria describes a relaxed MgBeIr2 crystal. The functional is GGA-PBEsol.

Unit cell a=2.947 b=4.145 c=4.145 alpha=90.00 beta=90.00 gamma=90.00
Atoms (fractional coordinates):
Be  0.500  0.000  0.000
Ir  0.000  0.000  0.500
Ir  0.000  0.500  0.000
Mg  0.500  0.500  0.500

mass density	13.70	g/cm3
N(E_F)	0.820	states/eV/atom
calculated formation energy	-0.204	eV/atom
final energy	-26.178	eV for the cell shown
crystal system	tetragonal
excess energy over the best structure of this formula in the dataset	130	meV per atom

***

(3)
This record from Alexandria describes a relaxed MgBeIr2 crystal. The functional is GGA-PBEsol.

Unit cell a=2.880 b=2.880 c=6.389 alpha=90.00 beta=90.00 gamma=90.00
Atoms (fractional coordinates):
Ir  0.000  0.000  0.952
Ir  0.500  0.500  0.244
Be  0.500  0.500  0.792
Mg  0.000  0.000  0.512

mass density	13.09	g/cm3
N(E_F)	0.726	states/eV/atom
calculated formation energy	-0.173	eV/atom
final energy	-26.055	eV for the cell shown
crystal system	tetragonal
excess energy over the best structure of this formula in the dataset	161	meV per atom

***

(4)
This record from Alexandria describes a relaxed MgBeIr crystal. The functional is GGA-PBEsol.

Unit cell a=2.974 b=2.974 c=5.008 alpha=107.27 beta=107.27 gamma=90.00
Atoms (fractional coordinates):
Ir  0.633  0.633  0.267
Mg  0.329  0.329  0.657
Be  0.038  0.038  0.076

mass density	9.32	g/cm3
N(E_F)	0.270	states/eV/atom
calculated formation energy	-0.411	eV/atom
final energy	-16.773	eV for the cell shown
crystal system	tetragonal

***

(5)
This record from Alexandria describes a relaxed MgBe2Ir2 crystal. The functional is GGA-PBEsol.

Unit cell a=2.892 b=6.355 c=6.355 alpha=90.00 beta=90.00 gamma=90.00
Atoms (fractional coordinates):
Mg  0.000  0.000  0.000
Mg  0.000  0.500  0.500
Ir  0.500  0.337  0.163
Ir  0.500  0.663  0.837
Ir  0.500  0.163  0.663
Ir  0.500  0.837  0.337
Be  0.000  0.626  0.126
Be  0.000  0.126  0.374
Be  0.000  0.374  0.874
Be  0.000  0.874  0.626

mass density	12.14	g/cm3
N(E_F)	0.208	states/eV/atom
calculated formation energy	-0.516	eV/atom
final energy	-63.892	eV for the cell shown
crystal system	tetragonal
excess energy over the best structure of this formula in the dataset	0	meV per atom

***

(6)
This record from Alexandria describes a relaxed MgBeIr2 crystal. The functional is GGA-PBEsol.

Unit cell a=2.869 b=2.869 c=6.185 alpha=90.00 beta=90.00 gamma=90.00
Atoms (fractional coordinates):
Mg  0.500  0.500  0.000
Ir  0.000  0.000  0.715
Ir  0.000  0.000  0.285
Be  0.500  0.500  0.500

mass density	13.62	g/cm3
N(E_F)	0.904	states/eV/atom
calculated formation energy	-0.333	eV/atom
final energy	-26.697	eV for the cell shown
crystal system	tetragonal
excess energy over the best structure of this formula in the dataset	0	meV per atom

***

(7)
This record from Alexandria describes a relaxed MgBe2Ir2 crystal. The functional is GGA-PBEsol.

Unit cell a=2.797 b=6.672 c=6.672 alpha=90.00 beta=90.00 gamma=90.00
Atoms (fractional coordinates):
Mg  0.000  0.500  0.500
Mg  0.000  0.000  0.000
Ir  0.000  0.144  0.356
Ir  0.000  0.856  0.644
Ir  0.000  0.356  0.856
Ir  0.000  0.644  0.144
Be  0.500  0.352  0.148
Be  0.500  0.852  0.352
Be  0.500  0.148  0.648
Be  0.500  0.648  0.852

mass density	11.38	g/cm3
N(E_F)	0.541	states/eV/atom
calculated formation energy	-0.295	eV/atom
final energy	-61.679	eV for the cell shown
crystal system	tetragonal
excess energy over the best structure of this formula in the dataset	221	meV per atom

***

(8)
This record from Alexandria describes a relaxed Mg2BeIr crystal. The functional is GGA-PBEsol.

Unit cell a=2.892 b=2.892 c=8.830 alpha=80.58 beta=80.58 gamma=60.00
Atoms (fractional coordinates):
Mg  0.239  0.239  0.284
Mg  0.012  0.012  0.964
Be  0.488  0.488  0.536
Ir  0.761  0.761  0.716

mass density	6.61	g/cm3
N(E_F)	0.504	states/eV/atom
calculated formation energy	0.036	eV/atom
final energy	-17.115	eV for the cell shown
crystal system	trigonal